P) Material: Hf2TaP2
Method: DFT, PBE-GGA
State: relaxed

## Properties
Mass density (g cm⁻³): 11.1
Total magnetic moment (μB per cell): 0.0
Density of states at the Fermi level (states/eV/atom): 0.517
Calculated volume (Å³ per cell): 179.9

POSCAR file:
```
Hf2TaP2
1.0
-2.292 -0.418 -4.744
-2.453 -6.363 1.747
-1.646 5.424 3.261
Hf Ta P
4 2 4
Direct
0.338 0.977 0.675
0.838 0.698 0.675
0.662 0.023 0.325
0.162 0.302 0.325
0.750 0.500 0.000
0.250 0.500 0.000
0.601 0.315 0.201
0.399 0.685 0.799
0.899 0.114 0.799
0.101 0.886 0.201
```

Q) Material: Hf2TaP2
Method: DFT, PBE-GGA
State: relaxed

## Properties
Mass density (g cm⁻³): 12.0
Total magnetic moment (μB per cell): 0.0
Density of states at the Fermi level (states/eV/atom): 0.584
Calculated volume (Å³ per cell): 165.8

POSCAR file:
```
Hf2TaP2
1.0
-4.442 -4.577 2.358
4.727 -2.391 4.263
-1.076 2.333 2.502
Hf P Ta
4 4 2
Direct
0.839 0.339 0.500
0.339 0.161 0.500
0.661 0.839 0.500
0.161 0.661 0.500
0.642 0.142 0.000
0.142 0.358 0.000
0.358 0.858 0.000
0.858 0.642 0.000
0.000 0.000 0.000
0.500 0.500 0.000
```

Of them, Q) has the highest stability.

P) Material: HfTcP2
Method: DFT, PBE-GGA
State: relaxed

## Properties
Mass density (g cm⁻³): 6.8
Total magnetic moment (μB per cell): 0.0
Density of states at the Fermi level (states/eV/atom): 0.645
Calculated volume (Å³ per cell): 164.9

POSCAR file:
```
HfTcP2
1.0
5.093 0.000 0.000
0.000 5.093 0.000
2.547 2.547 6.359
P Hf Tc
4 2 2
Direct
0.375 0.424 0.750
0.576 0.125 0.250
0.174 0.625 0.250
0.875 0.826 0.750
0.750 0.250 0.500
0.000 0.000 0.000
0.500 0.500 0.000
0.250 0.750 0.500
```

Q) Material: HfTcP2
Method: DFT, PBE-GGA
State: relaxed

## Properties
Mass density (g cm⁻³): 9.5
Total magnetic moment (μB per cell): 0.0
Density of states at the Fermi level (states/eV/atom): 1.116
Calculated volume (Å³ per cell): 59.3

POSCAR file:
```
HfTcP2
1.0
0.000 3.094 3.094
3.094 0.000 3.094
3.094 3.094 0.000
P Tc Hf
2 1 1
Direct
0.250 0.250 0.250
0.750 0.750 0.750
0.000 0.000 0.000
0.500 0.500 0.500
```

Of them, Q) has the highest stability.

P) Material: Hf3TcP
Method: DFT, PBE-GGA
State: relaxed

## Properties
Mass density (g cm⁻³): 10.3
Total magnetic moment (μB per cell): 1.6
Density of states at the Fermi level (states/eV/atom): 1.177
Calculated volume (Å³ per cell): 106.7

POSCAR file:
```
Hf3TcP
1.0
-2.590 -2.790 -2.829
3.971 -1.702 -1.957
0.136 -3.437 3.266
Tc P Hf
1 1 3
Direct
0.500 0.500 0.500
0.000 0.000 0.000
0.000 0.000 0.500
0.500 0.000 0.000
0.000 0.500 0.000
```

Q) Material: Hf3TcP
Method: DFT, PBE-GGA
State: relaxed

## Properties
Mass density (g cm⁻³): 9.2
Total magnetic moment (μB per cell): 0.0
Density of states at the Fermi level (states/eV/atom): 1.393
Calculated volume (Å³ per cell): 120.4

POSCAR file:
```
Hf3TcP
1.0
-1.038 -4.065 2.603
4.657 -0.145 1.632
-1.267 2.799 3.865
Hf P Tc
3 1 1
Direct
0.000 0.000 0.500
0.000 0.500 0.000
0.500 0.000 0.000
0.500 0.500 0.500
0.000 0.000 0.000
```

Of them, P) has the highest stability.

P) Material: Hf2Tc2P
Method: DFT, PBE-GGA
State: relaxed

## Properties
Mass density (g cm⁻³): 11.2
Total magnetic moment (μB per cell): 0.0
Density of states at the Fermi level (states/eV/atom): 0.895
Calculated volume (Å³ per cell): 172.6

POSCAR file:
```
Hf2Tc2P
1.0
-5.060 3.362 -1.223
1.191 -0.415 -6.067
-2.447 -3.764 -0.223
Tc Hf P
4 4 2
Direct
0.148 0.352 0.000
0.648 0.148 0.000
0.352 0.852 0.000
0.852 0.648 0.000
0.176 0.676 0.500
0.324 0.176 0.500
0.676 0.824 0.500
0.824 0.324 0.500
0.000 0.000 0.000
0.500 0.500 0.000
```

Q) Material: Hf2Tc2P
Method: DFT, PBE-GGA
State: relaxed

## Properties
Mass density (g cm⁻³): 9.6
Total magnetic moment (μB per cell): 0.0
Density of states at the Fermi level (states/eV/atom): 1.421
Calculated volume (Å³ per cell): 101.5

POSCAR file:
```
Hf2Tc2P
1.0
4.336 0.000 0.000
0.000 4.336 0.000
2.168 2.168 5.397
Tc Hf P
2 2 1
Direct
0.392 0.392 0.217
0.608 0.608 0.783
0.750 0.250 0.500
0.250 0.750 0.500
0.000 0.000 0.000
```

Of them, P) has the highest stability.

P) Material: HfTc3P
Method: DFT, PBE-GGA
State: relaxed

## Properties
Mass density (g cm⁻³): 7.8
Total magnetic moment (μB per cell): 2.5
Density of states at the Fermi level (states/eV/atom): 1.011
Calculated volume (Å³ per cell): 107.7

POSCAR file:
```
HfTc3P
1.0
-4.220 1.136 -1.880
0.675 -3.204 -3.451
-2.090 -3.327 2.681
Hf Tc P
1 3 1
Direct
0.000 0.000 0.000
0.000 0.500 0.000
0.000 0.000 0.500
0.500 0.000 0.000
0.500 0.500 0.500
```

Q) Material: HfTc3P
Method: DFT, PBE-GGA
State: relaxed

## Properties
Mass density (g cm⁻³): 9.9
Total magnetic moment (μB per cell): 0.0
Density of states at the Fermi level (states/eV/atom): 0.583
Calculated volume (Å³ per cell): 84.2

POSCAR file:
```
HfTc3P
1.0
-3.475 -1.033 2.463
2.668 -1.135 3.287
-0.137 4.105 1.528
Tc P Hf
3 1 1
Direct
0.000 0.000 0.500
0.000 0.500 0.000
0.500 0.000 0.000
0.000 0.000 0.000
0.500 0.500 0.500
```

Of them, Q) has the highest stability.

P) Material: Hf2TeP2
Method: DFT, PBE-GGA
State: relaxed

## Properties
Mass density (g cm⁻³): 9.3
Total magnetic moment (μB per cell): 0.0
Density of states at the Fermi level (states/eV/atom): 0.393
Calculated volume (Å³ per cell): 97.7

POSCAR file:
```
Hf2TeP2
1.0
-2.324 -0.315 -2.919
2.060 -2.828 -1.334
-4.025 -6.100 1.462
P Hf Te
2 2 1
Direct
0.250 0.750 0.500
0.750 0.250 0.500
0.381 0.381 0.238
0.619 0.619 0.762
0.000 0.000 0.000
```

Q) Material: Hf2TeP2
Method: DFT, PBE-GGA
State: relaxed

## Properties
Mass density (g cm⁻³): 9.4
Total magnetic moment (μB per cell): 0.0
Density of states at the Fermi level (states/eV/atom): 0.293
Calculated volume (Å³ per cell): 193.0

POSCAR file:
```
Hf2TeP2
1.0
-6.100 -2.289 3.961
1.354 -7.209 -2.082
1.903 -0.419 2.688
Hf Te P
4 2 4
Direct
0.150 0.350 0.000
0.350 0.850 0.000
0.850 0.650 0.000
0.650 0.150 0.000
0.000 0.000 0.000
0.500 0.500 0.000
0.867 0.367 0.500
0.133 0.633 0.500
0.633 0.867 0.500
0.367 0.133 0.500
```

Of them, Q) has the highest stability.

P) Material: Hf2TeP
Method: DFT, PBE-GGA
State: relaxed

## Properties
Mass density (g cm⁻³): 10.0
Total magnetic moment (μB per cell): 0.0
Density of states at the Fermi level (states/eV/atom): 0.449
Calculated volume (Å³ per cell): 85.5

POSCAR file:
```
Hf2TeP
1.0
3.871 0.000 0.000
1.936 3.353 0.000
1.936 1.118 6.584
Hf Te P
2 1 1
Direct
0.728 0.728 0.816
0.272 0.272 0.184
0.500 0.500 0.500
0.000 0.000 0.000
```

Q) Material: Hf2TeP
Method: DFT, PBE-GGA
State: relaxed

## Properties
Mass density (g cm⁻³): 11.0
Total magnetic moment (μB per cell): 0.0
Density of states at the Fermi level (states/eV/atom): 0.644
Calculated volume (Å³ per cell): 78.1

POSCAR file:
```
Hf2TeP
1.0
0.000 3.393 3.393
3.393 0.000 3.393
3.393 3.393 0.000
Hf P Te
2 1 1
Direct
0.250 0.250 0.250
0.750 0.750 0.750
0.000 0.000 0.000
0.500 0.500 0.500
```

Of them, P) has the highest stability.

P) Material: Hf2TeP
Method: DFT, PBE-GGA
State: relaxed

## Properties
Mass density (g cm⁻³): 10.2
Total magnetic moment (μB per cell): 0.0
Density of states at the Fermi level (states/eV/atom): 0.467
Calculated volume (Å³ per cell): 83.8

POSCAR file:
```
Hf2TeP
1.0
3.789 0.000 0.000
1.895 3.281 0.000
1.895 1.094 6.737
P Hf Te
1 2 1
Direct
0.667 0.667 0.998
0.066 0.066 0.803
0.268 0.268 0.195
0.499 0.499 0.504
```

Q) Material: Hf2TeP
Method: DFT, PBE-GGA
State: relaxed

## Properties
Mass density (g cm⁻³): 7.6
Total magnetic moment (μB per cell): 0.0
Density of states at the Fermi level (states/eV/atom): 0.861
Calculated volume (Å³ per cell): 226.6

POSCAR file:
```
Hf2TeP
1.0
-2.488 -3.998 -3.855
3.109 -4.503 2.663
-4.315 -5.136 3.308
P Hf Te
2 4 2
Direct
0.250 0.750 0.500
0.500 0.500 0.000
0.875 0.825 0.750
0.375 0.425 0.750
0.175 0.625 0.250
0.575 0.125 0.250
0.000 0.000 0.000
0.750 0.250 0.500
```

Of them, P) has the highest stability.

P) Material: HfTiP2
Method: DFT, PBE-GGA
State: relaxed

## Properties
Mass density (g cm⁻³): 5.2
Total magnetic moment (μB per cell): 0.0
Density of states at the Fermi level (states/eV/atom): 0.747
Calculated volume (Å³ per cell): 183.0

POSCAR file:
```
HfTiP2
1.0
5.666 0.000 0.000
0.000 5.666 0.000
2.833 2.833 5.700
Ti Hf P
2 2 4
Direct
0.250 0.750 0.500
0.500 0.500 0.000
0.750 0.250 0.500
0.000 0.000 0.000
0.141 0.625 0.250
0.875 0.859 0.750
0.375 0.391 0.750
0.609 0.125 0.250
```

Q) Material: HfTiP2
Method: DFT, PBE-GGA
State: relaxed

## Properties
Mass density (g cm⁻³): 7.1
Total magnetic moment (μB per cell): 0.0
Density of states at the Fermi level (states/eV/atom): 0.232
Calculated volume (Å³ per cell): 67.4

POSCAR file:
```
HfTiP2
1.0
-3.001 0.770 1.784
-3.123 -1.360 -1.084
-1.164 -5.054 3.803
P Hf Ti
2 1 1
Direct
0.246 0.246 0.261
0.088 0.088 0.737
0.672 0.672 0.985
0.494 0.494 0.518
```

R) Material: HfTiP2
Method: DFT, PBE-GGA
State: relaxed

## Properties
Mass density (g cm⁻³): 7.6
Total magnetic moment (μB per cell): 0.8
Density of states at the Fermi level (states/eV/atom): 1.171
Calculated volume (Å³ per cell): 63.2

POSCAR file:
```
HfTiP2
1.0
0.000 3.162 3.162
3.162 0.000 3.162
3.162 3.162 0.000
P Ti Hf
2 1 1
Direct
0.250 0.250 0.250
0.750 0.750 0.750
0.000 0.000 0.000
0.500 0.500 0.500
```

Of them, Q) has the highest stability.

P) Material: HfTlP3
Method: DFT, PBE-GGA
State: relaxed

## Properties
Mass density (g cm⁻³): 6.2
Total magnetic moment (μB per cell): 0.0
Density of states at the Fermi level (states/eV/atom): 1.235
Calculated volume (Å³ per cell): 127.8

POSCAR file:
```
HfTlP3
1.0
5.037 0.000 0.000
0.000 5.037 0.000
0.000 0.000 5.037
P Hf Tl
3 1 1
Direct
0.000 0.000 0.500
0.000 0.500 0.000
0.500 0.000 0.000
0.000 0.000 0.000
0.500 0.500 0.500
```

Q) Material: HfTlP3
Method: DFT, PBE-GGA
State: relaxed

## Properties
Mass density (g cm⁻³): 6.6
Total magnetic moment (μB per cell): 0.0
Density of states at the Fermi level (states/eV/atom): 0.948
Calculated volume (Å³ per cell): 119.5

POSCAR file:
```
HfTlP3
1.0
-3.906 -2.755 -1.190
2.937 -3.108 -2.446
0.617 -2.649 4.107
Tl P Hf
1 3 1
Direct
0.000 0.000 0.000
0.500 0.000 0.000
0.000 0.500 0.000
0.000 0.000 0.500
0.500 0.500 0.500
```

Of them, P) has the highest stability.

P) Material: HfTlP2
Method: DFT, PBE-GGA
State: relaxed

## Properties
Mass density (g cm⁻³): 6.5
Total magnetic moment (μB per cell): 0.0
Density of states at the Fermi level (states/eV/atom): 0.854
Calculated volume (Å³ per cell): 227.1

POSCAR file:
```
HfTlP2
1.0
6.197 0.000 0.000
0.000 6.197 0.000
3.098 3.098 5.915
P Hf Tl
4 2 2
Direct
0.875 0.835 0.750
0.165 0.625 0.250
0.585 0.125 0.250
0.375 0.415 0.750
0.500 0.500 0.000
0.250 0.750 0.500
0.750 0.250 0.500
0.000 0.000 0.000
```

Q) Material: HfTlP2
Method: DFT, PBE-GGA
State: relaxed

## Properties
Mass density (g cm⁻³): 9.5
Total magnetic moment (μB per cell): 0.0
Density of states at the Fermi level (states/eV/atom): 0.366
Calculated volume (Å³ per cell): 77.6

POSCAR file:
```
HfTlP2
1.0
0.000 3.386 3.386
3.386 0.000 3.386
3.386 3.386 0.000
Tl Hf P
1 1 2
Direct
0.500 0.500 0.500
0.000 0.000 0.000
0.750 0.750 0.750
0.250 0.250 0.250
```

R) Material: HfTlP2
Method: DFT, PBE-GGA
State: relaxed

## Properties
Mass density (g cm⁻³): 8.2
Total magnetic moment (μB per cell): 0.0
Density of states at the Fermi level (states/eV/atom): 0.430
Calculated volume (Å³ per cell): 90.1

POSCAR file:
```
HfTlP2
1.0
-2.660 -2.693 0.227
0.845 -3.582 -0.913
1.297 -3.392 6.631
P Hf Tl
2 1 1
Direct
0.733 0.733 0.800
0.267 0.267 0.200
0.000 0.000 0.000
0.500 0.500 0.500
```

Of them, R) has the highest stability.

P) Material: Hf3TlP
Method: DFT, PBE-GGA
State: relaxed

## Properties
Mass density (g cm⁻³): 11.3
Total magnetic moment (μB per cell): 0.0
Density of states at the Fermi level (states/eV/atom): 0.706
Calculated volume (Å³ per cell): 113.0

POSCAR file:
```
Hf3TlP
1.0
-4.528 -0.512 -1.614
0.613 -4.791 -0.199
-1.578 -0.391 4.553
Hf Tl P
3 1 1
Direct
0.000 0.000 0.500
0.000 0.500 0.000
0.500 0.000 0.000
0.500 0.500 0.500
0.000 0.000 0.000
```

Q) Material: Hf3TlP
Method: DFT, PBE-GGA
State: relaxed

## Properties
Mass density (g cm⁻³): 8.9
Total magnetic moment (μB per cell): 0.0
Density of states at the Fermi level (states/eV/atom): 2.009
Calculated volume (Å³ per cell): 143.8

POSCAR file:
```
Hf3TlP
1.0
-0.577 -4.967 1.564
2.410 1.140 4.510
-4.616 1.216 2.159
P Tl Hf
1 1 3
Direct
0.500 0.500 0.500
0.000 0.000 0.000
0.500 0.000 0.000
0.000 0.000 0.500
0.000 0.500 0.000
```

Of them, P) has the highest stability.